Density functional theory data (PBE-GGA) for an optimized crystal structure of Ce5ZnGa4.

Cell lengths 3.848, 3.848, 16.040 Å; angles 90.00, 90.00, 90.00 degrees
Each line ends with the local moment (μB).
Fractional coordinates of all 10 atoms:
Ce1 0.500 0.500 0.105  0.64
Ce2 0.500 0.500 0.301  0.71
Ce3 0.500 0.500 0.500  0.72
Ce4 0.500 0.500 0.699  0.71
Ce5 0.500 0.500 0.895  0.64
Zn1 0.000 0.000 0.000  0.00
Ga1 0.000 0.000 0.202  0.02
Ga2 0.000 0.000 0.400  0.03
Ga3 0.000 0.000 0.600  0.03
Ga4 0.000 0.000 0.798  0.02

Values from the calculation:
The space group is P4/mmm, No. 123. Its magnetization is 4.487 μB per formula unit. For the energy of formation from the pure elements, the calculation gives -0.385 eV per atom.

---

Density functional theory data (PBE-GGA) for an optimized crystal structure of Pr4SbBr5.

Cell lengths 4.177, 9.160, 9.443 Å; angles 98.91, 102.78, 90.00 degrees
Fractional coordinates of all 10 atoms:
Pr1 0.669 0.064 0.338
Pr2 0.002 0.241 0.004
Pr3 0.331 0.936 0.662
Pr4 0.998 0.759 0.996
Sb1 0.500 0.000 0.000
Br1 0.168 0.311 0.335
Br2 0.167 0.808 0.334
Br3 0.833 0.192 0.666
Br4 0.500 0.500 0.000
Br5 0.832 0.689 0.665

Values from the calculation:
The space group is C2/m, No. 12. Its magnetization is 0.002 μB per formula unit. The value obtained for the energy relative to the elements, uncorrected is -1.4974 eV/atom.

---

Density functional theory data (PBE-GGA) for an optimized crystal structure of CsAcTe2.

Cell lengths 4.903, 4.903, 17.980 Å; angles 90.00, 90.00, 120.00 degrees
Fractional coordinates of all 8 atoms:
Cs1 0.667 0.333 0.250
Cs2 0.333 0.667 0.750
Ac1 0.000 0.000 0.500
Ac2 0.000 0.000 0.000
Te1 0.333 0.667 0.399
Te2 0.667 0.333 0.899
Te3 0.667 0.333 0.601
Te4 0.333 0.667 0.101

Values from the calculation:
The space group is P6_3/mmc, No. 194. Its magnetization is 0.000 μB per formula unit. The value obtained for the energy relative to the elements, uncorrected is -1.5043 eV/atom.

---

Density functional theory data (PBE-GGA) for an optimized crystal structure of Ba5Ga2Pb5.

Cell lengths 4.488, 9.591, 11.355 Å; angles 80.45, 78.60, 76.47 degrees
Fractional coordinates of all 12 atoms:
Ba1 0.000 0.500 0.500
Ba2 0.693 0.703 0.912
Ba3 0.384 0.921 0.310
Ba4 0.616 0.079 0.690
Ba5 0.307 0.297 0.088
Ga1 0.380 0.488 0.753
Ga2 0.620 0.512 0.247
Pb1 0.698 0.232 0.372
Pb2 0.925 0.324 0.826
Pb3 0.075 0.676 0.174
Pb4 0.302 0.768 0.628
Pb5 0.000 0.000 0.000

Values from the calculation:
The space group is C2/m, No. 12. Its magnetization is 0.000 μB per formula unit. For the energy of formation from the pure elements, the calculation gives -0.469 eV per atom.

---

Density functional theory data (PBE-GGA) for an optimized crystal structure of BeNi2.

Cell lengths 3.805, 3.805, 4.647 Å; angles 90.00, 90.00, 120.00 degrees
Fractional coordinates of all 6 atoms:
Be1 0.333 0.667 0.250
Be2 0.667 0.333 0.750
Ni1 0.000 0.000 0.000
Ni2 0.000 0.000 0.500
Ni3 0.333 0.667 0.750
Ni4 0.667 0.333 0.250

Values from the calculation:
The space group is P6_3/mmc, No. 194. Its magnetization is 0.000 μB per formula unit. For the energy of formation from the pure elements, the calculation gives -0.244 eV per atom.

---

Density functional theory data (PBE-GGA) for an optimized crystal structure of KSrHoBr6.

Cell lengths 7.682, 7.682, 14.068 Å; angles 90.00, 90.00, 120.00 degrees
Fractional coordinates of all 18 atoms:
K1 0.000 0.000 0.000
K2 0.000 0.000 0.500
Sr1 0.333 0.667 0.250
Sr2 0.667 0.333 0.750
Ho1 0.667 0.333 0.250
Ho2 0.333 0.667 0.750
Br1 0.648 0.622 0.135
Br2 0.974 0.352 0.135
Br3 0.352 0.974 0.635
Br4 0.026 0.648 0.865
Br5 0.378 0.352 0.365
Br6 0.974 0.622 0.365
Br7 0.622 0.974 0.865
Br8 0.648 0.026 0.365
Br9 0.026 0.378 0.635
Br10 0.378 0.026 0.135
Br11 0.622 0.648 0.635
Br12 0.352 0.378 0.865

Values from the calculation:
The space group is P-31c, No. 163. Its magnetization is 0.000 μB per formula unit. The value obtained for the energy relative to the elements, uncorrected is -1.9492 eV/atom.